DFT (PBE with a Hubbard U) results for a relaxed structure of Na3Dy3WO8. Values from VASP.

Geometry as Quantum ESPRESSO input:
```
&SYSTEM
  ibrav = 0, nat = 15, ntyp = 4
/
ATOMIC_SPECIES
O 16.00 O.upf
Dy 162.50 Dy.upf
W 183.84 W.upf
Na 22.99 Na.upf
CELL_PARAMETERS angstrom
-5.191 -1.205 -4.133
-0.419 -1.750 6.538
-0.139 6.563 -1.739
ATOMIC_POSITIONS crystal
O 0.265 0.531 0.291
O 0.735 0.469 0.709
O 0.218 0.977 0.697
O 0.240 0.023 0.303
O 0.775 0.551 0.300
O 0.225 0.449 0.700
O 0.782 0.023 0.303
O 0.760 0.977 0.697
Dy 0.500 0.500 0.500
Dy 0.500 0.000 0.500
Dy 0.000 0.500 0.500
W 0.000 0.000 0.500
Na 0.000 0.000 0.000
Na 0.000 0.500 0.000
Na 0.500 0.500 0.000
```

Output
Its crystal system is monoclinic.

=====

DFT (PBE with a Hubbard U) results for a relaxed structure of Cr2FeCO. Values from VASP.

Geometry as Quantum ESPRESSO input:
```
&SYSTEM
  ibrav = 0, nat = 5, ntyp = 4
/
ATOMIC_SPECIES
O 16.00 O.upf
Fe 55.84 Fe.upf
C 12.01 C.upf
Cr 52.00 Cr.upf
CELL_PARAMETERS angstrom
4.125 0.000 0.000
0.000 3.926 0.000
0.000 0.000 4.125
ATOMIC_POSITIONS crystal
O 0.000 0.000 0.000
Fe 0.000 0.500 0.000
C 0.500 0.500 0.500
Cr 0.000 0.000 0.500
Cr 0.500 0.000 0.000
```

Output
Its crystal system is tetragonal.

=====

no.,raw total energy (Ry per atom),DOS at the Fermi energy (states/eV/atom)
1,-0.5106,0.000
2,-0.4698,0.219